Below is an optimized crystal structure of Cr2CdP, with properties calculated at the PBE level.

Calculated values
N(E_F) (states/eV/f.u.): 3.7
Formation energy from the elements (kcal/mol of atoms): 7.5
Calculated volume (Å³/atom): 14.5
SG: Immm
Total moment (μB per cell): 0.01
Calculated total energy (eV/atom): -6.07
ΔE to the lowest computed polymorph (meV/atom): 252

Structure (CIF):
```
data_Cr2CdP
_cell_length_a 4.779
_cell_length_b 4.779
_cell_length_c 4.779
_cell_angle_alpha 140.44
_cell_angle_beta 121.83
_cell_angle_gamma 72.64
_symmetry_space_group_name_H-M 'P 1'
_symmetry_Int_Tables_number 1
loop_
_symmetry_equiv_pos_as_xyz
'x,y,z'
loop_
_atom_site_label
_atom_site_fract_x
_atom_site_fract_y
_atom_site_fract_z
Cd1 0.250 0.750 0.500
Cr1 0.948 0.948 0.000
Cr2 0.552 0.552 0.000
P1 0.750 0.250 0.500
```


Below is an optimized crystal structure of CrCdP2, with properties calculated at the PBE level.

Calculated values
N(E_F) (states/eV/f.u.): 2.4
Formation energy from the elements (kcal/mol of atoms): 1.6
Calculated volume (Å³/atom): 16.4
SG: C2/m
Total moment (μB per cell): 1.43
Calculated total energy (eV/atom): -5.27

Structure (CIF):
```
data_CrCdP2
_cell_length_a 4.129
_cell_length_b 4.129
_cell_length_c 5.529
_cell_angle_alpha 81.05
_cell_angle_beta 81.05
_cell_angle_gamma 44.86
_symmetry_space_group_name_H-M 'P 1'
_symmetry_Int_Tables_number 1
loop_
_symmetry_equiv_pos_as_xyz
'x,y,z'
loop_
_atom_site_label
_atom_site_fract_x
_atom_site_fract_y
_atom_site_fract_z
Cd1 0.750 0.750 0.750
Cr1 0.250 0.250 0.250
P1 0.973 0.973 0.091
P2 0.527 0.527 0.409
```


Below is an optimized crystal structure of CrCdP2, with properties calculated at the PBE level.

Calculated values
N(E_F) (states/eV/f.u.): 2.6
Formation energy from the elements (kcal/mol of atoms): 6.1
Calculated volume (Å³/atom): 15.9
SG: Amm2
Total moment (μB per cell): 0.00
Calculated total energy (eV/atom): -5.08

Structure (CIF):
```
data_CrCdP2
_cell_length_a 4.285
_cell_length_b 3.346
_cell_length_c 4.743
_cell_angle_alpha 69.36
_cell_angle_beta 90.00
_cell_angle_gamma 90.00
_symmetry_space_group_name_H-M 'P 1'
_symmetry_Int_Tables_number 1
loop_
_symmetry_equiv_pos_as_xyz
'x,y,z'
loop_
_atom_site_label
_atom_site_fract_x
_atom_site_fract_y
_atom_site_fract_z
Cd1 0.000 0.539 0.547
Cr1 0.500 0.919 0.787
P1 0.000 0.815 0.996
P2 0.500 0.227 0.170
```


Below is an optimized crystal structure of CrCdP2, with properties calculated at the PBE level.

Calculated values
N(E_F) (states/eV/f.u.): 1.7
Formation energy from the elements (kcal/mol of atoms): 2.4
Calculated volume (Å³/atom): 18.5
SG: Pmm2
Total moment (μB per cell): 2.34
Calculated total energy (eV/atom): -5.23

Structure (CIF):
```
data_CrCdP2
_cell_length_a 2.949
_cell_length_b 3.689
_cell_length_c 6.797
_cell_angle_alpha 90.00
_cell_angle_beta 90.00
_cell_angle_gamma 90.00
_symmetry_space_group_name_H-M 'P 1'
_symmetry_Int_Tables_number 1
loop_
_symmetry_equiv_pos_as_xyz
'x,y,z'
loop_
_atom_site_label
_atom_site_fract_x
_atom_site_fract_y
_atom_site_fract_z
Cd1 0.000 0.000 0.465
Cr1 0.500 0.500 0.927
P1 0.000 0.000 0.845
P2 0.500 0.500 0.263
```


Below is an optimized crystal structure of CrCdP, with properties calculated at the PBE level.

Calculated values
N(E_F) (states/eV/f.u.): 2.8
Formation energy from the elements (kcal/mol of atoms): 1.9
Calculated volume (Å³/atom): 16.4
SG: P3m1
Total moment (μB per cell): 0.18
Calculated total energy (eV/atom): -5.23
ΔE to the lowest computed polymorph (meV/atom): 88

Structure (CIF):
```
data_CrCdP
_cell_length_a 2.980
_cell_length_b 2.980
_cell_length_c 6.399
_cell_angle_alpha 90.00
_cell_angle_beta 90.00
_cell_angle_gamma 120.00
_symmetry_space_group_name_H-M 'P 1'
_symmetry_Int_Tables_number 1
loop_
_symmetry_equiv_pos_as_xyz
'x,y,z'
loop_
_atom_site_label
_atom_site_fract_x
_atom_site_fract_y
_atom_site_fract_z
Cr1 0.667 0.333 0.383
Cd1 0.333 0.667 0.023
P1 0.333 0.667 0.612
```


Below is an optimized crystal structure of CrCdP2, with properties calculated at the PBE level.

Calculated values
N(E_F) (states/eV/f.u.): 2.9
Formation energy from the elements (kcal/mol of atoms): 8.9
Calculated volume (Å³/atom): 16.6
SG: I-4m2
Total moment (μB per cell): 2.93
Calculated total energy (eV/atom): -4.95

Structure (CIF):
```
data_CrCdP2
_cell_length_a 5.429
_cell_length_b 5.429
_cell_length_c 5.429
_cell_angle_alpha 139.71
_cell_angle_beta 139.71
_cell_angle_gamma 58.30
_symmetry_space_group_name_H-M 'P 1'
_symmetry_Int_Tables_number 1
loop_
_symmetry_equiv_pos_as_xyz
'x,y,z'
loop_
_atom_site_label
_atom_site_fract_x
_atom_site_fract_y
_atom_site_fract_z
Cd1 0.500 0.500 0.000
Cr1 0.750 0.250 0.500
P1 0.000 0.000 0.000
P2 0.250 0.750 0.500
```